Entry 1:
First-principles (GGA-PBE) data for Zr2Sc3Tl2 after structural relaxation, as listed in Alexandria via LeMat-Bulk.

The calculated total energy is -5.737 eV per atom. The calculation puts the density of states at the Fermi level at 0.950 states/eV/atom. The crystal system is orthorhombic.

abc: 3.122 5.153 10.355
angles: 104.40 90.00 90.00
Last column: magnetic moment on the atom in μB.
Sites, in units of the cell vectors:
Zr  0.000  0.430  0.859  -0.04
Zr  0.000  0.570  0.141  -0.04
Sc  0.000  0.290  0.579  0.32
Sc  0.000  0.000  0.000  0.00
Sc  0.000  0.710  0.421  0.32
Tl  0.500  0.144  0.287  -0.01
Tl  0.500  0.856  0.713  -0.01

***

Entry 2:
First-principles (GGA-PBE) data for Zr2ScTl2 after structural relaxation, as listed in Alexandria via LeMat-Bulk.

The calculation puts the density of states at the Fermi level at 1.071 states/eV/atom. For the energy above the most stable polymorph in this dataset, the calculation gives 0.1527 eV/atom. The crystal system is triclinic.

abc: 3.169 8.216 10.438
angles: 108.94 81.25 78.82
Sites, in units of the cell vectors:
Zr  0.129  0.890  0.852
Zr  0.384  0.700  0.532
Zr  0.871  0.110  0.148
Zr  0.616  0.300  0.468
Sc  0.873  0.895  0.359
Sc  0.127  0.105  0.641
Tl  0.597  0.739  0.066
Tl  0.870  0.527  0.734
Tl  0.403  0.261  0.934
Tl  0.130  0.473  0.266

***

Entry 3:
First-principles (GGA-PBE) data for Zr3ScTl4 after structural relaxation, as listed in Alexandria via LeMat-Bulk.

The calculated total energy is -5.300 eV per atom. The calculation puts the density of states at the Fermi level at 0.759 states/eV/atom. The crystal system is tetragonal.

abc: 3.227 3.227 17.621
angles: 90.00 90.00 90.00
Last column: magnetic moment on the atom in μB.
Sites, in units of the cell vectors:
Sc  0.500  0.500  0.000  0.37
Tl  0.000  0.000  0.876  0.00
Tl  0.000  0.000  0.124  0.00
Tl  0.000  0.000  0.375  0.00
Tl  0.000  0.000  0.625  0.00
Zr  0.500  0.500  0.251  -0.01
Zr  0.500  0.500  0.500  0.00
Zr  0.500  0.500  0.749  -0.01

***

Entry 4:
First-principles (GGA-PBE) data for Zr2ScTl after structural relaxation, as listed in Alexandria via LeMat-Bulk.

The calculation puts the density of states at the Fermi level at 1.245 states/eV/atom. For the energy above the most stable polymorph in this dataset, the calculation gives 0.4606 eV/atom. The crystal system is tetragonal.

abc: 8.170 8.170 6.480
angles: 50.92 50.92 90.00
Sites, in units of the cell vectors:
Sc  0.500  0.500  0.000
Sc  0.250  0.750  0.500
Tl  0.000  0.000  0.000
Tl  0.750  0.250  0.500
Zr  0.636  0.125  0.250
Zr  0.114  0.625  0.250
Zr  0.375  0.364  0.750
Zr  0.875  0.886  0.750

***

Entry 5:
First-principles (GGA-PBE) data for ZrSc3Tl2 after structural relaxation, as listed in Alexandria via LeMat-Bulk.

The calculated total energy is -5.496 eV per atom. The calculation puts the density of states at the Fermi level at 0.930 states/eV/atom. The crystal system is orthorhombic.

abc: 3.307 8.152 21.345
angles: 90.00 90.00 90.00
Last column: magnetic moment on the atom in μB.
Sites, in units of the cell vectors:
Zr  0.250  0.000  0.437  -0.02
Zr  0.750  0.500  0.937  -0.02
Zr  0.250  0.500  0.063  -0.02
Zr  0.750  0.000  0.563  -0.02
Sc  0.250  0.813  0.976  0.06
Sc  0.750  0.687  0.476  0.06
Sc  0.250  0.313  0.524  0.06
Sc  0.750  0.187  0.024  0.06
Sc  0.250  0.121  0.153  0.23
Sc  0.750  0.379  0.653  0.23
Sc  0.250  0.621  0.347  0.23
Sc  0.750  0.879  0.847  0.23
Sc  0.250  0.736  0.206  0.07
Sc  0.750  0.764  0.706  0.07
Sc  0.250  0.236  0.294  0.07
Sc  0.750  0.264  0.794  0.07
Tl  0.250  0.652  0.594  0.00
Tl  0.750  0.848  0.094  0.00
Tl  0.250  0.152  0.906  0.00
Tl  0.750  0.348  0.406  0.00
Tl  0.250  0.577  0.805  0.00
Tl  0.750  0.923  0.305  0.00
Tl  0.250  0.077  0.695  0.00
Tl  0.750  0.423  0.195  0.00

***

Entry 6:
First-principles (GGA-PBE) data for ZrScTl4 after structural relaxation, as listed in Alexandria via LeMat-Bulk.

The calculated total energy is -3.741 eV per atom. The calculation puts the density of states at the Fermi level at 0.782 states/eV/atom. The crystal system is cubic.

abc: 6.030 6.030 6.030
angles: 60.00 60.00 60.00
Last column: magnetic moment on the atom in μB.
Sites, in units of the cell vectors:
Zr  0.750  0.750  0.750  0.24
Sc  0.000  0.000  0.000  0.04
Tl  0.875  0.375  0.375  -0.01
Tl  0.375  0.375  0.875  -0.01
Tl  0.375  0.875  0.375  -0.01
Tl  0.375  0.375  0.375  -0.01

***

Entry 7:
First-principles (GGA-PBE) data for Zr2Sc4Tl after structural relaxation, as listed in Alexandria via LeMat-Bulk.

The calculated total energy is -6.361 eV per atom. The calculation puts the density of states at the Fermi level at 0.914 states/eV/atom. The crystal system is orthorhombic.

abc: 3.194 19.162 10.943
angles: 90.00 90.00 90.00
Sites, in units of the cell vectors:
Zr  0.750  0.910  0.162
Zr  0.250  0.090  0.838
Zr  0.250  0.590  0.662
Zr  0.750  0.410  0.338
Zr  0.750  0.851  0.655
Zr  0.250  0.149  0.345
Zr  0.250  0.649  0.155
Zr  0.750  0.351  0.845
Sc  0.250  0.987  0.637
Sc  0.750  0.013  0.363
Sc  0.750  0.513  0.137
Sc  0.250  0.487  0.863
Sc  0.750  0.948  0.898
Sc  0.250  0.052  0.102
Sc  0.250  0.552  0.398
Sc  0.750  0.448  0.602
Sc  0.750  0.771  0.253
Sc  0.250  0.229  0.747
Sc  0.250  0.729  0.753
Sc  0.750  0.271  0.247
Sc  0.250  0.802  0.002
Sc  0.750  0.198  0.998
Sc  0.750  0.698  0.502
Sc  0.250  0.302  0.498
Tl  0.250  0.874  0.416
Tl  0.750  0.126  0.584
Tl  0.750  0.626  0.916
Tl  0.250  0.374  0.084

***

Entry 8:
First-principles (GGA-PBE) data for Zr2ScTl after structural relaxation, as listed in Alexandria via LeMat-Bulk.

The calculation puts the density of states at the Fermi level at 0.669 states/eV/atom. For the energy above the most stable polymorph in this dataset, the calculation gives 0.2026 eV/atom. The crystal system is cubic.

abc: 5.048 5.048 5.048
angles: 60.00 60.00 60.00
Sites, in units of the cell vectors:
Sc  0.000  0.000  0.000
Tl  0.500  0.500  0.500
Zr  0.250  0.250  0.250
Zr  0.750  0.750  0.750

***

Entry 9:
First-principles (GGA-PBE) data for ZrScTl after structural relaxation, as listed in Alexandria via LeMat-Bulk.

The calculation puts the density of states at the Fermi level at 1.217 states/eV/atom. For the energy above the most stable polymorph in this dataset, the calculation gives 0.4138 eV/atom. The crystal system is cubic.

abc: 4.855 4.855 4.855
angles: 60.00 60.00 60.00
Last column: magnetic moment on the atom in μB.
Sites, in units of the cell vectors:
Sc  0.500  0.500  0.500  0.30
Tl  0.750  0.750  0.750  -0.02
Zr  0.000  0.000  0.000  0.42

***

Entry 10:
First-principles (GGA-PBE) data for Tm7Sc after structural relaxation, as listed in Alexandria via LeMat-Bulk.

The calculation puts the density of states at the Fermi level at 1.802 states/eV/atom. For the energy above the most stable polymorph in this dataset, the calculation gives 0.0000 eV/atom. The crystal system is cubic.

abc: 6.919 6.919 6.919
angles: 60.00 60.00 60.00
Sites, in units of the cell vectors:
Tm  0.500  0.500  0.000
Tm  0.500  0.000  0.500
Tm  0.000  0.500  0.500
Tm  0.500  0.000  0.000
Tm  0.000  0.500  0.000
Tm  0.000  0.000  0.500
Tm  0.500  0.500  0.500
Sc  0.000  0.000  0.000

***

Entry 11:
First-principles (GGA-PBE) data for Tm4Sc after structural relaxation, as listed in Alexandria via LeMat-Bulk.

The calculation puts the density of states at the Fermi level at 1.872 states/eV/atom. For the energy above the most stable polymorph in this dataset, the calculation gives 0.0275 eV/atom. The crystal system is orthorhombic.

abc: 6.838 6.307 9.120
angles: 63.43 67.98 57.17
Sites, in units of the cell vectors:
Tm  0.804  0.609  0.783
Tm  0.304  0.609  0.783
Tm  0.848  0.197  0.606
Tm  0.348  0.197  0.606
Tm  0.652  0.803  0.394
Tm  0.152  0.803  0.394
Tm  0.696  0.391  0.217
Tm  0.196  0.391  0.217
Sc  0.750  0.000  0.000
Sc  0.250  0.000  0.000

***

Entry 12:
First-principles (GGA-PBE) data for Tm3Sc8 after structural relaxation, as listed in Alexandria via LeMat-Bulk.

The calculation puts the density of states at the Fermi level at 1.744 states/eV/atom. For the energy above the most stable polymorph in this dataset, the calculation gives 0.0000 eV/atom. The crystal system is monoclinic.

abc: 3.456 6.267 14.406
angles: 106.40 90.00 106.01
Sites, in units of the cell vectors:
Tm  0.000  0.000  0.000
Tm  0.904  0.808  0.385
Tm  0.096  0.192  0.615
Sc  0.765  0.530  0.088
Sc  0.235  0.470  0.912
Sc  0.530  0.061  0.791
Sc  0.470  0.939  0.209
Sc  0.809  0.618  0.761
Sc  0.191  0.382  0.239
Sc  0.650  0.300  0.425
Sc  0.350  0.700  0.575

***

Entry 13:
First-principles (GGA-PBE) data for Tm7Sc after structural relaxation, as listed in Alexandria via LeMat-Bulk.

The calculation puts the density of states at the Fermi level at 1.873 states/eV/atom. For the energy above the most stable polymorph in this dataset, the calculation gives 0.0275 eV/atom. The crystal system is orthorhombic.

abc: 3.454 8.492 8.492
angles: 79.74 78.26 78.27
Sites, in units of the cell vectors:
Tm  0.735  0.764  0.764
Tm  0.265  0.236  0.236
Tm  0.000  0.500  0.500
Tm  0.632  0.599  0.136
Tm  0.368  0.401  0.864
Tm  0.368  0.864  0.401
Tm  0.632  0.136  0.599
Sc  0.000  0.000  0.000

***

Entry 14:
First-principles (GGA-PBE) data for TmSc after structural relaxation, as listed in Alexandria via LeMat-Bulk.

The calculation puts the density of states at the Fermi level at 1.910 states/eV/atom. For the energy above the most stable polymorph in this dataset, the calculation gives 0.0000 eV/atom. The crystal system is orthorhombic.

abc: 5.937 3.447 5.346
angles: 90.00 90.00 90.00
Sites, in units of the cell vectors:
Tm  0.087  0.250  0.250
Tm  0.913  0.750  0.750
Sc  0.418  0.250  0.750
Sc  0.582  0.750  0.250

***

Entry 15:
First-principles (GGA-PBE) data for Tm3Sc7 after structural relaxation, as listed in Alexandria via LeMat-Bulk.

The calculation puts the density of states at the Fermi level at 1.831 states/eV/atom. For the energy above the most stable polymorph in this dataset, the calculation gives 0.0000 eV/atom. The crystal system is monoclinic.

abc: 4.694 6.667 8.814
angles: 101.08 105.44 90.00
Sites, in units of the cell vectors:
Tm  0.000  0.000  0.000
Tm  0.802  0.398  0.604
Tm  0.198  0.602  0.396
Sc  0.000  0.500  0.000
Sc  0.800  0.901  0.600
Sc  0.200  0.099  0.400
Sc  0.599  0.300  0.197
Sc  0.401  0.700  0.803
Sc  0.600  0.802  0.201
Sc  0.400  0.198  0.799

***

Entry 16:
First-principles (GGA-PBE) data for TmSc2 after structural relaxation, as listed in Alexandria via LeMat-Bulk.

The calculation puts the density of states at the Fermi level at 1.850 states/eV/atom. For the energy above the most stable polymorph in this dataset, the calculation gives 0.0000 eV/atom. The crystal system is monoclinic.

abc: 5.881 5.881 6.278
angles: 90.06 117.80 120.07
Sites, in units of the cell vectors:
Tm  0.662  0.912  0.750
Tm  0.338  0.088  0.250
Sc  0.005  0.584  0.754
Sc  0.995  0.416  0.246
Sc  0.330  0.251  0.746
Sc  0.670  0.749  0.254

***

Entry 17:
First-principles (GGA-PBE) data for TmSc after structural relaxation, as listed in Alexandria via LeMat-Bulk.

The calculation puts the density of states at the Fermi level at 1.679 states/eV/atom. For the energy above the most stable polymorph in this dataset, the calculation gives 0.0835 eV/atom. The crystal system is cubic.

abc: 3.792 3.792 3.792
angles: 90.00 90.00 90.00
Sites, in units of the cell vectors:
Sc  0.500  0.500  0.500
Tm  0.000  0.000  0.000

***

Entry 18:
First-principles (GGA-PBE) data for Tm7Sc5 after structural relaxation, as listed in Alexandria via LeMat-Bulk.

The calculation puts the density of states at the Fermi level at 1.568 states/eV/atom. For the energy above the most stable polymorph in this dataset, the calculation gives 0.1323 eV/atom. The crystal system is monoclinic.

abc: 5.351 5.345 14.043
angles: 100.95 90.00 120.04
Sites, in units of the cell vectors:
Tm  0.225  0.449  0.671
Tm  0.775  0.551  0.329
Tm  0.069  0.138  0.212
Tm  0.931  0.862  0.788
Tm  0.691  0.382  0.074
Tm  0.500  0.000  0.500
Tm  0.309  0.618  0.926
Sc  0.147  0.294  0.443
Sc  0.853  0.706  0.557
Sc  0.394  0.789  0.187
Sc  0.606  0.211  0.813
Sc  0.000  0.000  0.000

***

Entry 19:
First-principles (GGA-PBE) data for Tm2Sc7 after structural relaxation, as listed in Alexandria via LeMat-Bulk.

The calculation puts the density of states at the Fermi level at 2.299 states/eV/atom. For the energy above the most stable polymorph in this dataset, the calculation gives 0.2229 eV/atom. The crystal system is trigonal.

abc: 6.106 6.106 15.763
angles: 78.83 78.83 60.00
Sites, in units of the cell vectors:
Tm  0.056  0.056  0.832
Tm  0.944  0.944  0.168
Tm  0.155  0.155  0.536
Tm  0.845  0.845  0.464
Sc  0.500  0.500  0.500
Sc  0.277  0.277  0.168
Sc  0.723  0.723  0.832
Sc  0.389  0.389  0.833
Sc  0.611  0.611  0.167
Sc  0.500  0.000  0.000
Sc  0.000  0.500  0.000
Sc  0.500  0.500  0.000
Sc  0.614  0.614  0.665
Sc  0.614  0.108  0.665
Sc  0.108  0.614  0.665
Sc  0.386  0.386  0.335
Sc  0.386  0.892  0.335
Sc  0.892  0.386  0.335

***

Entry 20:
First-principles (GGA-PBE) data for TmSc5 after structural relaxation, as listed in Alexandria via LeMat-Bulk.

The calculated total energy is -5.970 eV per atom. The calculation puts the density of states at the Fermi level at 1.783 states/eV/atom. The crystal system is monoclinic.

abc: 5.716 6.590 9.866
angles: 90.00 90.00 125.15
Sites, in units of the cell vectors:
Tm  0.750  0.501  0.250
Tm  0.250  0.499  0.750
Sc  0.750  0.001  0.250
Sc  0.250  0.999  0.750
Sc  0.250  0.000  0.419
Sc  0.750  0.000  0.919
Sc  0.750  0.000  0.581
Sc  0.250  0.000  0.081
Sc  0.250  0.500  0.417
Sc  0.750  0.500  0.917
Sc  0.750  0.500  0.583
Sc  0.250  0.500  0.083

***

Entry 21:
First-principles (GGA-PBE) data for Tm7Sc6 after structural relaxation, as listed in Alexandria via LeMat-Bulk.

The calculated total energy is -5.014 eV per atom. The calculation puts the density of states at the Fermi level at 2.138 states/eV/atom. The crystal system is trigonal.

abc: 6.279 6.279 11.513
angles: 74.18 74.18 60.00
Last column: magnetic moment on the atom in μB.
Sites, in units of the cell vectors:
Tm  0.411  0.918  0.261  0.11
Tm  0.411  0.411  0.261  0.11
Tm  0.918  0.411  0.261  0.11
Tm  0.589  0.082  0.739  0.11
Tm  0.082  0.589  0.739  0.11
Tm  0.589  0.589  0.739  0.11
Tm  0.500  0.500  0.500  0.11
Sc  0.954  0.954  0.137  0.23
Sc  0.046  0.046  0.863  0.23
Sc  0.854  0.854  0.437  0.30
Sc  0.146  0.146  0.563  0.30
Sc  0.667  0.667  0.000  0.32
Sc  0.333  0.333  0.000  0.32

***

Entry 22:
First-principles (GGA-PBE) data for Tm7Sc5 after structural relaxation, as listed in Alexandria via LeMat-Bulk.

The calculation puts the density of states at the Fermi level at 1.610 states/eV/atom. For the energy above the most stable polymorph in this dataset, the calculation gives 0.0000 eV/atom. The crystal system is monoclinic.

abc: 4.796 7.592 10.183
angles: 72.69 76.38 71.59
Sites, in units of the cell vectors:
Tm  0.999  0.005  0.997
Tm  0.415  0.923  0.247
Tm  0.832  0.834  0.502
Tm  0.249  0.746  0.755
Tm  0.089  0.579  0.243
Tm  0.501  0.496  0.503
Tm  0.165  0.167  0.504
Sc  0.671  0.661  0.998
Sc  0.916  0.413  0.754
Sc  0.333  0.337  0.997
Sc  0.751  0.254  0.244
Sc  0.579  0.086  0.756